Material: Pm2Pr4Ho2Er
Method: DFT, GGA-PBE
State: relaxed

Values from the calculation:
Crystal system: monoclinic
Formation energy, eV/atom: 0.02
Total moment, μB per formula unit: 0.00
SG: C2/m, No. 12

abc: 8.1534 8.1534 8.0973
angles: 107.63 107.63 36.86
Positions (direct):
Pm (0.1117, 0.1117, 0.1709)
Pm (0.8883, 0.8883, 0.8291)
Pr (0.2220, 0.2220, 0.8297)
Pr (0.4456, 0.4456, 0.1702)
Pr (0.5544, 0.5544, 0.8298)
Pr (0.7780, 0.7780, 0.1703)
Ho (0.3332, 0.3332, 0.5003)
Ho (0.6668, 0.6668, 0.4997)
Er (0.0000, 0.0000, 0.5000)